(1)
# GaBRh2 | Alexandria via LeMat-Bulk | PBE | relaxed
# Calculated total energy: -6.55 eV/atom
# Energy of formation: -0.45 eV per atom
data_GaBRh2
_chemical_formula_sum 'Ga3 B3 Rh6'
_cell_length_a 3.0669
_cell_length_b 3.0669
_cell_length_c 19.0203
_cell_angle_alpha 90.00
_cell_angle_beta 90.00
_cell_angle_gamma 120.00
_space_group_name_H-M_alt 'R 3 m'
_space_group_IT_number 160
_space_group_name_Hall 'R 3 -2"'
loop_
_atom_site_label
_atom_site_type_symbol
_atom_site_fract_x
_atom_site_fract_y
_atom_site_fract_z
Ga1 Ga 0.0000 0.0000 0.0000
B1 B 0.0000 0.0000 0.1666
Rh1 Rh 0.0000 0.0000 0.5627
Rh2 Rh 0.0000 0.0000 0.7696


(2)
# La3TlRu | Alexandria via LeMat-Bulk | PBE | relaxed
# Calculated total energy: -5.56 eV/atom
# Energy relative to the lowest polymorph listed for this composition: 55 kJ/mol of formula units
# Energy of formation: -0.28 eV per atom
data_La3TlRu
_chemical_formula_sum 'La24 Tl8 Ru8'
_cell_length_a 12.141
_cell_length_b 13.849
_cell_length_c 7.589
_cell_angle_alpha 90.00
_cell_angle_beta 114.21
_cell_angle_gamma 90.00
_space_group_name_H-M_alt 'C 1 2/c 1'
_space_group_IT_number 15
loop_
_space_group_symop_operation_xyz
'x,y,z'
'-x,-y,-z'
'-x,y,-z+1/2'
'x,-y,z+1/2'
'x+1/2,y+1/2,z'
'-x+1/2,-y+1/2,-z'
'-x+1/2,y+1/2,-z+1/2'
'x+1/2,-y+1/2,z+1/2'
loop_
_atom_site_label
_atom_site_type_symbol
_atom_site_fract_x
_atom_site_fract_y
_atom_site_fract_z
La1 La 0.127 0.187 0.038
La2 La 0.133 0.465 0.980
La3 La 0.170 0.165 0.566
Tl1 Tl 0.000 0.001 0.250
Tl2 Tl 0.000 0.337 0.250
Ru1 Ru 0.114 0.333 0.708


(3)
# Sr4MgSc | Alexandria via LeMat-Bulk | PBE | relaxed
# Calculated total energy: -1.90 eV/atom
# Energy of formation: 0.54 eV per atom
data_Sr4MgSc
_chemical_formula_sum 'Sr16 Mg4 Sc4'
_cell_length_a 10.229
_cell_length_b 10.229
_cell_length_c 10.229
_cell_angle_alpha 90.00
_cell_angle_beta 90.00
_cell_angle_gamma 90.00
_space_group_name_H-M_alt 'F -4 3 m'
_space_group_IT_number 216
_space_group_name_Hall 'F -4 2 3'
loop_
_atom_site_label
_atom_site_type_symbol
_atom_site_fract_x
_atom_site_fract_y
_atom_site_fract_z
Sr1 Sr 0.124 0.124 0.376
Mg1 Mg 0.000 0.000 0.000
Sc1 Sc 0.250 0.250 0.750


(4)
# PuTc2N4 | Alexandria via LeMat-Bulk | PBE | relaxed
# Calculated total energy: -10.12 eV/atom
data_PuTc2N4
_chemical_formula_sum 'Pu4 Tc8 N16'
_cell_length_a 3.212
_cell_length_b 9.777
_cell_length_c 9.947
_cell_angle_alpha 90.00
_cell_angle_beta 90.00
_cell_angle_gamma 90.00
_space_group_name_H-M_alt 'C m c m'
_space_group_IT_number 63
_space_group_name_Hall '-C 2c 2'
loop_
_atom_site_label
_atom_site_type_symbol
_atom_site_fract_x
_atom_site_fract_y
_atom_site_fract_z
Pu1 Pu 0.000 0.119 0.250
Tc1 Tc 0.000 0.385 0.064
N1 N 0.000 0.000 0.000
N2 N 0.000 0.262 0.609
N3 N 0.000 0.435 0.250